(1)
# La3Zn2Au3 | Alexandria via LeMat-Bulk | PBE | relaxed
# - formation enthalpy at 0 K (eV per atom) = -0.68
# - density of states at the Fermi level (states/eV per cell) = 23.25
# - uncorrected energy (eV per atom) = -4.077
data_La3Zn2Au3
_cell_length_a 4.6387
_cell_length_b 11.0237
_cell_length_c 15.3691
_cell_angle_alpha 90.00
_cell_angle_beta 90.00
_cell_angle_gamma 90.00
_space_group_name_H-M_alt 'C m c m'
_space_group_IT_number 63
_space_group_name_Hall '-C 2c 2'
loop_
_atom_site_label
_atom_site_fract_x
_atom_site_fract_y
_atom_site_fract_z
La1 0.0000 0.0930 0.1000
La2 0.0000 0.3741 0.2500
Zn1 0.0000 0.2065 0.5991
Au1 0.0000 0.3372 0.7500
Au2 0.0000 0.3857 0.0465

(2)
# H3Pd3Rh | Alexandria via LeMat-Bulk | PBE | relaxed
# - density of states at the Fermi level (states/eV per cell) = 13.22
# - uncorrected energy (eV per atom) = -4.744
# - polymorph energy (0 for the lowest one) (meV/atom) = 0
data_H3Pd3Rh
_cell_length_a 2.8796
_cell_length_b 5.7885
_cell_length_c 8.0871
_cell_angle_alpha 90.30
_cell_angle_beta 90.08
_cell_angle_gamma 90.36
_space_group_name_H-M_alt 'P -1'
_space_group_IT_number 2
_space_group_name_Hall '-P 1'
loop_
_atom_site_label
_atom_site_fract_x
_atom_site_fract_y
_atom_site_fract_z
H1 0.2182 0.1493 0.3645
H2 0.2257 0.6015 0.3788
H3 0.2704 0.6165 0.8608
Pd1 0.2473 0.1235 0.6280
Pd2 0.2504 0.6283 0.1227
Pd3 0.2519 0.1228 0.1210
Rh1 0.2503 0.6242 0.6261

(3)
# Sr2LaCu2 | Alexandria via LeMat-Bulk | PBE | relaxed
# - formation enthalpy at 0 K (eV per atom) = 0.21
# - density of states at the Fermi level (states/eV per cell) = 10.61
# - uncorrected energy (eV per atom) = -3.086
# - polymorph energy (0 for the lowest one) (meV/atom) = 211
data_Sr2LaCu2
_cell_length_a 4.8462
_cell_length_b 4.8462
_cell_length_c 13.0799
_cell_angle_alpha 90.00
_cell_angle_beta 90.00
_cell_angle_gamma 90.00
_space_group_name_H-M_alt 'I 4/m m m'
_space_group_IT_number 139
_space_group_name_Hall '-I 4 2'
loop_
_atom_site_label
_atom_site_fract_x
_atom_site_fract_y
_atom_site_fract_z
Sr1 0.0000 0.5000 0.2500
La1 0.0000 0.0000 0.0000
Cu1 0.0000 0.0000 0.4094

(4)
# MnOsSe | Alexandria via LeMat-Bulk | PBE | relaxed
# - density of states at the Fermi level (states/eV per cell) = 1.85
# - uncorrected energy (eV per atom) = -7.706
# - ΔE_f (raw) (eV/f.u.) = 0.8
# - polymorph energy (0 for the lowest one) (meV/atom) = 0
data_MnOsSe
_cell_length_a 2.8644
_cell_length_b 2.8644
_cell_length_c 6.1029
_cell_angle_alpha 90.00
_cell_angle_beta 90.00
_cell_angle_gamma 120.00
_space_group_name_H-M_alt 'P 3 m 1'
_space_group_IT_number 156
_space_group_name_Hall 'P 3 -2"'
loop_
_atom_site_label
_atom_site_fract_x
_atom_site_fract_y
_atom_site_fract_z
Mn1 0.0000 0.0000 0.0000
Os1 0.6667 0.3333 0.6848
Se1 0.6667 0.3333 0.2725

(5)
# YEr4P5 | Alexandria via LeMat-Bulk | PBE | relaxed
# - formation enthalpy at 0 K (eV per atom) = -1.62
# - density of states at the Fermi level (states/eV per cell) = 1.21
# - uncorrected energy (eV per atom) = -6.793
data_YEr4P5
_cell_length_a 8.8967
_cell_length_b 8.8967
_cell_length_c 5.6254
_cell_angle_alpha 90.00
_cell_angle_beta 90.00
_cell_angle_gamma 90.00
_space_group_name_H-M_alt 'I 4/m'
_space_group_IT_number 87
_space_group_name_Hall '-I 4'
loop_
_atom_site_label
_atom_site_fract_x
_atom_site_fract_y
_atom_site_fract_z
Y1 0.0000 0.0000 0.0000
Er1 0.1004 0.7000 0.5000
P1 0.0000 0.0000 0.5000
P2 0.1006 0.6985 0.0000

(6)
# AuBr4 | Alexandria via LeMat-Bulk | PBE | relaxed
# - density of states at the Fermi level (states/eV per cell) = 5.85
# - uncorrected energy (eV per atom) = -1.986
# - ΔE_f (raw) (eV/f.u.) = 0.0
# - polymorph energy (0 for the lowest one) (meV/atom) = 0
data_AuBr4
_cell_length_a 6.7717
_cell_length_b 12.4680
_cell_length_c 9.5589
_cell_angle_alpha 90.00
_cell_angle_beta 92.43
_cell_angle_gamma 90.00
_space_group_name_H-M_alt 'C 1 2/m 1'
_space_group_IT_number 12
_space_group_name_Hall '-C 2y'
loop_
_atom_site_label
_atom_site_fract_x
_atom_site_fract_y
_atom_site_fract_z
Au1 0.0000 0.1625 0.0000
Br1 0.1494 0.5000 0.5856
Br2 0.1724 0.0000 0.1666
Br3 0.2168 0.3302 0.1555

(7)
# PmIn12Ni6 | Alexandria via LeMat-Bulk | PBE | relaxed
# - formation enthalpy at 0 K (eV per atom) = -0.06
# - density of states at the Fermi level (states/eV per cell) = 30.82
# - uncorrected energy (eV per atom) = -3.860
data_PmIn12Ni6
_cell_length_a 12.1514
_cell_length_b 12.1514
_cell_length_c 9.1701
_cell_angle_alpha 90.00
_cell_angle_beta 90.00
_cell_angle_gamma 120.00
_space_group_name_H-M_alt 'R -3 m'
_space_group_IT_number 166
_space_group_name_Hall '-R 3 2"'
loop_
_atom_site_label
_atom_site_fract_x
_atom_site_fract_y
_atom_site_fract_z
Pm1 0.0000 0.0000 0.0000
In1 0.0000 0.3805 0.5000
In2 0.0856 0.1713 0.3309
Ni1 0.0482 0.5241 0.2526

(8)
# SeI | Alexandria via LeMat-Bulk | PBE | relaxed
# - density of states at the Fermi level (states/eV per cell) = 1.20
# - uncorrected energy (eV per atom) = -2.225
# - ΔE_f (raw) (eV/f.u.) = 0.6
data_SeI
_cell_length_a 4.1039
_cell_length_b 4.1175
_cell_length_c 4.9213
_cell_angle_alpha 114.20
_cell_angle_beta 91.11
_cell_angle_gamma 90.00
_space_group_name_H-M_alt 'P -1'
_space_group_IT_number 2
_space_group_name_Hall '-P 1'
loop_
_atom_site_label
_atom_site_fract_x
_atom_site_fract_y
_atom_site_fract_z
Se1 0.0000 0.0000 0.0000
I1 0.5000 0.5000 0.0000

(9)
# Er2MnZn | Alexandria via LeMat-Bulk | PBE | relaxed
# - formation enthalpy at 0 K (eV per atom) = -0.06
# - density of states at the Fermi level (states/eV per cell) = 19.47
# - uncorrected energy (eV per atom) = -4.950
# - polymorph energy (0 for the lowest one) (meV/atom) = 36
data_Er2MnZn
_cell_length_a 7.0125
_cell_length_b 7.0125
_cell_length_c 7.0125
_cell_angle_alpha 90.00
_cell_angle_beta 90.00
_cell_angle_gamma 90.00
_space_group_name_H-M_alt 'F m -3 m'
_space_group_IT_number 225
_space_group_name_Hall '-F 4 2 3'
loop_
_atom_site_label
_atom_site_fract_x
_atom_site_fract_y
_atom_site_fract_z
Er1 0.2500 0.2500 0.2500
Mn1 0.0000 0.0000 0.0000
Zn1 0.0000 0.0000 0.5000

(10)
# MnTl3Sn | Alexandria via LeMat-Bulk | PBE | relaxed
# - formation enthalpy at 0 K (eV per atom) = 0.44
# - density of states at the Fermi level (states/eV per cell) = 3.29
# - uncorrected energy (eV per atom) = -3.618
# - polymorph energy (0 for the lowest one) (meV/atom) = 0
data_MnTl3Sn
_cell_length_a 5.1758
_cell_length_b 5.1758
_cell_length_c 5.1758
_cell_angle_alpha 90.00
_cell_angle_beta 90.00
_cell_angle_gamma 90.00
_space_group_name_H-M_alt 'P m -3 m'
_space_group_IT_number 221
_space_group_name_Hall '-P 4 2 3'
loop_
_atom_site_label
_atom_site_fract_x
_atom_site_fract_y
_atom_site_fract_z
Mn1 0.0000 0.0000 0.0000
Tl1 0.0000 0.0000 0.5000
Sn1 0.5000 0.5000 0.5000

(11)
# TbPr4As5 | Alexandria via LeMat-Bulk | PBE | relaxed
# - formation enthalpy at 0 K (eV per atom) = -1.50
# - density of states at the Fermi level (states/eV per cell) = 1.19
# - uncorrected energy (eV per atom) = -6.201
data_TbPr4As5
_cell_length_a 9.5622
_cell_length_b 9.5622
_cell_length_c 6.0498
_cell_angle_alpha 90.00
_cell_angle_beta 90.00
_cell_angle_gamma 90.00
_space_group_name_H-M_alt 'I 4/m'
_space_group_IT_number 87
_space_group_name_Hall '-I 4'
loop_
_atom_site_label
_atom_site_fract_x
_atom_site_fract_y
_atom_site_fract_z
Tb1 0.0000 0.0000 0.0000
Pr1 0.0987 0.2998 0.5000
As1 0.0000 0.0000 0.5000
As2 0.0984 0.2949 0.0000

(12)
# LiRe2P | Alexandria via LeMat-Bulk | PBE | relaxed
# - formation enthalpy at 0 K (eV per atom) = 0.27
# - density of states at the Fermi level (states/eV per cell) = 3.48
# - uncorrected energy (eV per atom) = -7.787
data_LiRe2P
_cell_length_a 4.0608
_cell_length_b 4.0608
_cell_length_c 3.0455
_cell_angle_alpha 90.00
_cell_angle_beta 90.00
_cell_angle_gamma 90.00
_space_group_name_H-M_alt 'P 4/m m m'
_space_group_IT_number 123
_space_group_name_Hall '-P 4 2'
loop_
_atom_site_label
_atom_site_fract_x
_atom_site_fract_y
_atom_site_fract_z
Li1 0.0000 0.0000 0.0000
Re1 0.0000 0.5000 0.5000
P1 0.5000 0.5000 0.0000

Question: uncorrected energy of number 11 (TbPr4As5)?
Answer: -6.201 eV per atom

Question: Which of these has the lowest uncorrected energy?
Answer: LiRe2P